[1]
An optimized crystal structure of LaSm2CoC2, computed with GGA-PBE.

Cell and atoms, written as POSCAR:
```
LaSm2CoC2
1.0
5.748 0.000 0.000
0.000 11.068 0.000
0.000 0.000 3.855
La Sm Co C
2 4 2 4
direct
0.000 0.000 0.000 La
0.500 0.500 0.500 La
0.007 0.300 0.500 Sm
0.493 0.800 0.000 Sm
0.507 0.200 0.000 Sm
0.993 0.700 0.500 Sm
0.000 0.500 0.000 Co
0.500 0.000 0.500 Co
0.234 0.383 0.000 C
0.266 0.883 0.500 C
0.734 0.117 0.500 C
0.766 0.617 0.000 C
```

Computed properties:
**ΔH_f (0 K)**: -0.0742 eV per atom
**Volume**: 20.44 Å³/atom

=====

[2]
An optimized crystal structure of La2SmCoC2, computed with GGA-PBE.

Cell and atoms, written as POSCAR:
```
La2SmCoC2
1.0
5.727 0.000 0.000
0.000 11.435 0.000
0.000 0.000 3.824
La Sm Co C
4 2 2 4
direct
0.018 0.201 0.000 La
0.482 0.701 0.500 La
0.518 0.299 0.500 La
0.982 0.799 0.000 La
0.000 0.500 0.500 Sm
0.500 0.000 0.000 Sm
0.000 0.000 0.500 Co
0.500 0.500 0.000 Co
0.249 0.105 0.500 C
0.251 0.605 0.000 C
0.749 0.395 0.000 C
0.751 0.895 0.500 C
```

Computed properties:
**ΔH_f (0 K)**: -0.0140 eV per atom
**Volume**: 20.87 Å³/atom

=====

[3]
An optimized crystal structure of La2CoSnC, computed with GGA-PBE.

Cell and atoms, written as POSCAR:
```
La2CoSnC
1.0
5.525 0.000 0.000
0.000 5.525 0.000
0.000 0.000 3.696
La Co Sn C
2 1 1 1
direct
0.000 0.500 0.000 La
0.500 0.000 0.000 La
0.000 0.000 0.500 Co
0.500 0.500 0.500 Sn
0.000 0.000 0.000 C
```

Computed properties:
**ΔH_f (0 K)**: -0.3334 eV per atom
**Volume**: 22.57 Å³/atom

=====

[4]
An optimized crystal structure of Sr2LaCoC, computed with GGA-PBE.

Cell and atoms, written as POSCAR:
```
Sr2LaCoC
1.0
5.807 0.000 0.000
0.000 5.807 0.000
0.000 0.000 4.353
Sr La Co C
2 1 1 1
direct
0.000 0.500 0.000 Sr
0.500 0.000 0.000 Sr
0.000 0.000 0.000 La
0.500 0.500 0.500 Co
0.000 0.000 0.500 C
```

Computed properties:
**ΔE to the lowest computed polymorph**: 1019 meV per atom
**ΔH_f (0 K)**: 1.5706 eV per atom
**Volume**: 29.36 Å³/atom

=====

[5]
An optimized crystal structure of Sr2LaCoC, computed with GGA-PBE.

Cell and atoms, written as POSCAR:
```
Sr2LaCoC
1.0
5.478 0.000 0.000
0.000 5.478 0.000
0.000 0.000 4.847
Sr La Co C
2 1 1 1
direct
0.000 0.500 0.000 Sr
0.500 0.000 0.000 Sr
0.000 0.000 0.500 La
0.500 0.500 0.500 Co
0.000 0.000 0.000 C
```

Computed properties:
**ΔE to the lowest computed polymorph**: 0 meV per atom
**ΔH_f (0 K)**: 0.5517 eV per atom
**Volume**: 29.09 Å³/atom

=====

[6]
An optimized crystal structure of Sr2LaCoC, computed with GGA-PBE.

Cell and atoms, written as POSCAR:
```
Sr2LaCoC
1.0
6.091 0.000 0.000
0.000 6.091 0.000
0.000 0.000 3.720
Sr La Co C
2 1 1 1
direct
0.000 0.500 0.000 Sr
0.500 0.000 0.000 Sr
0.000 0.000 0.500 La
0.500 0.500 0.000 Co
0.500 0.500 0.500 C
```

Computed properties:
**ΔE to the lowest computed polymorph**: 177 meV per atom
**ΔH_f (0 K)**: 0.7287 eV per atom
**Volume**: 27.60 Å³/atom

=====

Look up the volume of the third one.
22.57 Å³/atom

=====

Which value of ΔH_f (0 K) does entry 6 give?
0.7287 eV per atom